A plane-wave DFT calculation with PBE was carried out for a relaxed structure of Pm3DyY2Bi6.

Summary:
Energy relative to the elements in eV per atom: -0.912
Symmetry: No. 12
Crystal system: monoclinic

a b c (Å): 10.125 10.125 9.057
angles (deg): 102.80 102.80 25.87
Fractional positions:
Pm 0.000 0.000 0.000
Pm 0.333 0.333 0.667
Pm 0.667 0.667 0.333
Dy 0.000 0.000 0.500
Y 0.333 0.333 0.167
Y 0.667 0.667 0.833
Bi 0.165 0.165 0.586
Bi 0.168 0.168 0.080
Bi 0.499 0.499 0.254
Bi 0.501 0.501 0.746
Bi 0.832 0.832 0.920
Bi 0.835 0.835 0.414


A plane-wave DFT calculation with PBE was carried out for a relaxed structure of PmDy3Y2Bi6.

Summary:
Energy relative to the elements in eV per atom: -0.884
Symmetry: No. 12
Crystal system: monoclinic

a b c (Å): 10.052 10.052 8.992
angles (deg): 102.87 102.87 25.85
Fractional positions:
Pm 0.000 0.000 0.000
Dy 0.000 0.000 0.500
Dy 0.334 0.334 0.168
Dy 0.666 0.666 0.832
Y 0.333 0.333 0.667
Y 0.667 0.667 0.333
Bi 0.166 0.166 0.583
Bi 0.169 0.169 0.084
Bi 0.500 0.500 0.255
Bi 0.500 0.500 0.745
Bi 0.831 0.831 0.916
Bi 0.834 0.834 0.417


A plane-wave DFT calculation with PBE was carried out for a relaxed structure of Pr3DyBi4.

Summary:
Energy relative to the elements in eV per atom: -0.929
Symmetry: No. 65
Crystal system: orthorhombic

a b c (Å): 7.969 7.969 4.604
angles (deg): 90.00 90.00 109.47
Fractional positions:
Pr 0.000 0.000 0.000
Pr 0.000 0.500 0.500
Pr 0.500 0.000 0.500
Dy 0.500 0.500 0.000
Bi 0.254 0.746 0.000
Bi 0.257 0.257 0.500
Bi 0.743 0.743 0.500
Bi 0.746 0.254 0.000


A plane-wave DFT calculation with PBE was carried out for a relaxed structure of PrDy5Bi6.

Summary:
Energy relative to the elements in eV per atom: -0.872
Symmetry: No. 12
Crystal system: monoclinic

a b c (Å): 7.804 7.804 7.804
angles (deg): 99.62 99.62 120.00
Fractional positions:
Pr 0.000 0.000 0.000
Dy 0.164 0.836 0.500
Dy 0.332 0.668 0.000
Dy 0.500 0.500 0.500
Dy 0.668 0.332 0.000
Dy 0.836 0.164 0.500
Bi 0.085 0.424 0.255
Bi 0.256 0.256 0.748
Bi 0.424 0.085 0.255
Bi 0.576 0.915 0.745
Bi 0.744 0.744 0.252
Bi 0.915 0.576 0.745


A plane-wave DFT calculation with PBE was carried out for a relaxed structure of Pr2DyBi.

Summary:
Energy relative to the elements in eV per atom: 0.007
Symmetry: No. 166
Relative energy among the computed polymorphs in kJ/mol of atoms: 39.8
Crystal system: trigonal

a b c (Å): 12.639 12.639 12.639
angles (deg): 16.38 16.38 16.38
Fractional positions:
Pr 0.088 0.088 0.088
Pr 0.912 0.912 0.912
Dy 0.500 0.500 0.500
Bi 0.000 0.000 0.000


A plane-wave DFT calculation with PBE was carried out for a relaxed structure of Pr4DyBi5.

Summary:
Energy relative to the elements in eV per atom: -0.934
Symmetry: No. 87
Crystal system: tetragonal

a b c (Å): 7.984 7.984 7.984
angles (deg): 99.61 99.61 131.78
Fractional positions:
Pr 0.098 0.699 0.797
Pr 0.301 0.098 0.398
Pr 0.699 0.902 0.602
Pr 0.902 0.301 0.203
Dy 0.500 0.500 0.000
Bi 0.000 0.000 0.000
Bi 0.206 0.401 0.607
Bi 0.401 0.794 0.195
Bi 0.599 0.206 0.805
Bi 0.794 0.599 0.393


A plane-wave DFT calculation with PBE was carried out for a relaxed structure of Pr2DyBi.

Summary:
Energy relative to the elements in eV per atom: -0.190
Symmetry: No. 160
Relative energy among the computed polymorphs in kJ/mol of atoms: 20.9
Crystal system: trigonal

a b c (Å): 9.999 9.999 9.999
angles (deg): 24.13 24.13 24.13
Fractional positions:
Pr 0.000 0.000 0.000
Pr 0.190 0.190 0.190
Dy 0.762 0.762 0.762
Bi 0.595 0.595 0.595


A plane-wave DFT calculation with PBE was carried out for a relaxed structure of Pr2DyBi.

Summary:
Energy relative to the elements in eV per atom: -0.387
Symmetry: No. 123
Relative energy among the computed polymorphs in kJ/mol of atoms: 1.8
Crystal system: tetragonal

a b c (Å): 4.349 4.349 6.917
angles (deg): 90.00 90.00 90.00
Fractional positions:
Pr 0.000 0.000 0.237
Pr 0.000 0.000 0.763
Dy 0.500 0.500 0.500
Bi 0.500 0.500 0.000


Number 1: VASP energy -5.50 eV per atom. Number 2: VASP energy -5.45 eV per atom. Number 3: VASP energy -5.24 eV per atom. Number 4: VASP energy -5.13 eV per atom. Number 5: VASP energy -4.50 eV per atom. Number 6: VASP energy -5.25 eV per atom. Number 7: VASP energy -4.70 eV per atom. Number 8: VASP energy -4.90 eV per atom.